Computed, not measured: a relaxed Ho5MgAg crystal at the PBE level of DFT.

Calculated values
* symmetry: C2/c
* uncorrected energy: -52.02 eV/cell
* ΔE_f: 0.189 eV per atom

Lattice parameters (Å, degrees): 6.4032 6.4032 11.4727 104.82 104.82 92.69
Closest atoms and distances in Å follow each position.
Atoms (fractional coordinates):
Ho  0.0862  0.6262  0.2957  1 Ag 2.84, 1 Ho 3.09
Ho  0.1039  0.8961  0.7500  1 Mg 3.17, 2 Ag 3.20, 6 Ho 3.35-3.46
Ho  0.1286  0.2743  0.0175  1 Ag 3.04, 1 Mg 3.20, 1 Ho 3.35
Ho  0.2743  0.1286  0.5175  1 Ag 3.04, 1 Mg 3.20, 1 Ho 3.35
Ho  0.3738  0.9138  0.2043  1 Ag 2.84, 1 Ho 3.09
Ho  0.6262  0.0862  0.7957  1 Ag 2.84, 1 Ho 3.09
Ho  0.7257  0.8714  0.4825  1 Ag 3.04, 1 Mg 3.20, 1 Ho 3.35
Ho  0.8714  0.7257  0.9825  1 Ag 3.04, 1 Mg 3.20, 1 Ho 3.35
Ho  0.8961  0.1039  0.2500  1 Mg 3.17, 2 Ag 3.20, 6 Ho 3.35-3.46
Ho  0.9138  0.3738  0.7043  1 Ag 2.84, 1 Ho 3.09
Mg  0.4461  0.5539  0.7500  7 Ho 3.17-3.41, 2 Ag 3.42
Mg  0.5539  0.4461  0.2500  7 Ho 3.17-3.41, 2 Ag 3.42
Ag  0.0000  0.5000  0.5000  4 Ho 2.84-3.04
Ag  0.5000  0.0000  0.0000  4 Ho 2.84-3.04

=====

Computed, not measured: a relaxed HoMgAg crystal at the PBE level of DFT.

Calculated values
* symmetry: Pmma
* uncorrected energy: -19.17 eV/cell
* ΔE_f: -0.187 eV per atom

Lattice parameters (Å, degrees): 4.9565 3.3795 8.5060 90.00 90.00 90.00
Closest atoms and distances in Å follow each position.
Atoms (fractional coordinates):
Ho  0.2500  0.0000  0.2132  6 Ag 3.10-3.17, 2 Ho 3.38, 4 Mg 3.46
Ho  0.7500  0.0000  0.7868  6 Ag 3.10-3.17, 2 Ho 3.38, 4 Mg 3.46
Mg  0.2500  0.5000  0.5832  1 Ag 2.76, 2 Mg 2.85
Mg  0.7500  0.5000  0.4168  1 Ag 2.76, 2 Mg 2.85
Ag  0.2500  0.5000  0.9079  1 Mg 2.76, 2 Ag 2.93
Ag  0.7500  0.5000  0.0921  1 Mg 2.76, 2 Ag 2.93

=====

Computed, not measured: a relaxed Ho5MgAg6 crystal at the PBE level of DFT.

Calculated values
* symmetry: Immm
* uncorrected energy: -45.19 eV/cell
* ΔE_f: -0.300 eV per atom

Lattice parameters (Å, degrees): 8.7731 8.7731 8.7731 146.63 131.52 60.13
Closest atoms and distances in Å follow each position.
Atoms (fractional coordinates):
Ho  0.0000  0.0000  0.0000  8 Ag 3.09-3.11
Ho  0.1676  0.6676  0.5000  8 Ag 3.11-3.14
Ho  0.3338  0.3338  0.0000  8 Ag 3.08-3.16
Ho  0.6662  0.6662  0.0000  8 Ag 3.08-3.16
Ho  0.8324  0.3324  0.5000  8 Ag 3.11-3.14
Mg  0.5000  0.0000  0.5000  8 Ag 3.06-3.08
Ag  0.0892  0.8361  0.2531  1 Mg 3.06, 7 Ho 3.08-3.16
Ag  0.2542  0.5000  0.7542  2 Mg 3.08, 6 Ho 3.08-3.14
Ag  0.4170  0.1639  0.2531  1 Mg 3.06, 7 Ho 3.08-3.16
Ag  0.5830  0.8361  0.7469  1 Mg 3.06, 7 Ho 3.08-3.16
Ag  0.7458  0.5000  0.2458  2 Mg 3.08, 6 Ho 3.08-3.14
Ag  0.9108  0.1639  0.7469  1 Mg 3.06, 7 Ho 3.08-3.16

=====

Computed, not measured: a relaxed HoMg2Ag2 crystal at the PBE level of DFT.

Calculated values
* offset from the most stable computed form: 0.000 eV per atom
* symmetry: C2/m
* uncorrected energy: -14.46 eV/cell
* ΔE_f: -0.198 eV per atom

Lattice parameters (Å, degrees): 4.9199 4.9199 5.6369 111.79 111.79 61.17
Closest atoms and distances in Å follow each position.
Atoms (fractional coordinates):
Ho  0.0000  0.0000  0.0000  6 Ag 3.05-3.12, 8 Mg 3.30-3.39
Mg  0.2297  0.2297  0.6526  5 Ag 2.91-3.25, 2 Mg 3.14
Mg  0.7703  0.7703  0.3474  5 Ag 2.91-3.25, 2 Mg 3.14
Ag  0.3981  0.3981  0.2329  1 Ag 2.75, 4 Mg 2.91-2.95, 1 Ho 3.05
Ag  0.6019  0.6019  0.7671  1 Ag 2.75, 4 Mg 2.91-2.95, 1 Ho 3.05

=====

Computed, not measured: a relaxed Ho2MgAg4 crystal at the PBE level of DFT.

Calculated values
* symmetry: R-3m
* uncorrected energy: -22.86 eV/cell
* ΔE_f: -0.100 eV per atom

Lattice parameters (Å, degrees): 9.0985 9.0985 9.0985 29.96 29.96 29.96
Closest atoms and distances in Å follow each position.
Atoms (fractional coordinates):
Ho  0.2490  0.2490  0.2490  8 Ag 2.98-3.06
Ho  0.7510  0.7510  0.7510  8 Ag 2.98-3.06
Mg  0.0000  0.0000  0.0000  6 Ag 2.83
Ag  0.1344  0.1344  0.1344  4 Ho 2.99-3.01, 3 Ag 3.19
Ag  0.3633  0.3633  0.3633  3 Mg 2.83, 4 Ho 2.98-3.06, 3 Ag 3.13
Ag  0.6367  0.6367  0.6367  3 Mg 2.83, 4 Ho 2.98-3.06, 3 Ag 3.13
Ag  0.8656  0.8656  0.8656  4 Ho 2.99-3.01, 3 Ag 3.19

=====

Computed, not measured: a relaxed HoMg8Ag4 crystal at the PBE level of DFT.

Calculated values
* symmetry: I4/mmm
* uncorrected energy: -30.97 eV/cell
* ΔE_f: -0.171 eV per atom

Lattice parameters (Å, degrees): 7.4961 7.4961 7.4961 98.17 98.17 135.72
Closest atoms and distances in Å follow each position.
Atoms (fractional coordinates):
Ho  0.0000  0.0000  0.0000  12 Mg 3.36-3.51, 8 Ag 3.75
Mg  0.0000  0.3421  0.3421  4 Ag 2.97, 5 Mg 3.10-3.22
Mg  0.0000  0.6579  0.6579  4 Ag 2.97, 5 Mg 3.10-3.22
Mg  0.2873  0.5000  0.7873  4 Ag 2.86, 4 Mg 2.95-3.10
Mg  0.3421  0.0000  0.3421  4 Ag 2.97, 5 Mg 3.10-3.22
Mg  0.5000  0.2873  0.7873  4 Ag 2.86, 4 Mg 2.95-3.10
Mg  0.5000  0.7127  0.2127  4 Ag 2.86, 4 Mg 2.95-3.10
Mg  0.6579  0.0000  0.6579  4 Ag 2.97, 5 Mg 3.10-3.22
Mg  0.7127  0.5000  0.2127  4 Ag 2.86, 4 Mg 2.95-3.10
Ag  0.0000  0.0000  0.5000  2 Ag 2.82, 8 Mg 2.86-2.97
Ag  0.0000  0.5000  0.0000  2 Ag 2.82, 8 Mg 2.86-2.97
Ag  0.5000  0.0000  0.0000  2 Ag 2.82, 8 Mg 2.86-2.97
Ag  0.5000  0.5000  0.5000  2 Ag 2.82, 8 Mg 2.86-2.97

=====

Computed, not measured: a relaxed Ho6Mg5Ag crystal at the PBE level of DFT.

Calculated values
* symmetry: P2/m
* uncorrected energy: -39.48 eV/cell
* ΔE_f: -0.099 eV per atom

Lattice parameters (Å, degrees): 5.3237 7.4062 8.4193 90.00 108.21 90.00
Closest atoms and distances in Å follow each position.
Atoms (fractional coordinates):
Ho  0.0000  0.2443  0.0000  2 Ag 3.22, 6 Mg 3.27-3.31
Ho  0.0000  0.7557  0.0000  2 Ag 3.22, 6 Mg 3.27-3.31
Ho  0.3371  0.2487  0.6738  1 Ag 3.19, 7 Mg 3.20-3.28
Ho  0.3371  0.7513  0.6738  1 Ag 3.19, 7 Mg 3.20-3.28
Ho  0.6629  0.2487  0.3262  1 Ag 3.19, 7 Mg 3.20-3.28
Ho  0.6629  0.7513  0.3262  1 Ag 3.19, 7 Mg 3.20-3.28
Mg  0.1686  0.5000  0.3369  8 Ho 3.25-3.29
Mg  0.1724  0.0000  0.3463  8 Ho 3.20-3.31
Mg  0.5000  0.5000  0.0000  8 Ho 3.20-3.27
Mg  0.8276  0.0000  0.6537  8 Ho 3.20-3.31
Mg  0.8314  0.5000  0.6631  8 Ho 3.25-3.29
Ag  0.5000  0.0000  0.0000  8 Ho 3.19-3.22

=====

Computed, not measured: a relaxed Ho2MgAg3 crystal at the PBE level of DFT.

Calculated values
* offset from the most stable computed form: 0.000 eV per atom
* symmetry: P-3m1
* uncorrected energy: -42.19 eV/cell
* ΔE_f: -0.298 eV per atom

Lattice parameters (Å, degrees): 5.0125 5.0125 12.2039 90.00 90.00 120.00
Closest atoms and distances in Å follow each position.
Atoms (fractional coordinates):
Ho  0.0000  0.0000  0.0000  8 Ag 3.07-3.09
Ho  0.0000  0.0000  0.5000  8 Ag 3.01-3.04
Ho  0.3333  0.6667  0.1767  8 Ag 3.00-3.18
Ho  0.6667  0.3333  0.8233  8 Ag 3.00-3.18
Mg  0.3333  0.6667  0.6652  8 Ag 2.96-3.09
Mg  0.6667  0.3333  0.3348  8 Ag 2.96-3.09
Ag  0.0000  0.0000  0.2536  5 Ho 3.01-3.09, 3 Mg 3.06
Ag  0.0000  0.0000  0.7464  5 Ho 3.01-3.09, 3 Mg 3.06
Ag  0.3333  0.6667  0.4226  4 Mg 2.96-3.09, 4 Ho 3.00-3.04
Ag  0.3333  0.6667  0.9164  1 Mg 3.06, 7 Ho 3.07-3.18
Ag  0.6667  0.3333  0.0836  1 Mg 3.06, 7 Ho 3.07-3.18
Ag  0.6667  0.3333  0.5774  4 Mg 2.96-3.09, 4 Ho 3.00-3.04

=====

Computed, not measured: a relaxed Ho11Mg9Ag4 crystal at the PBE level of DFT.

Calculated values
* symmetry: Cmmm
* uncorrected energy: -79.80 eV/cell
* ΔE_f: -0.154 eV per atom

Lattice parameters (Å, degrees): 13.5252 13.5252 3.6883 90.00 90.00 113.15
Closest atoms and distances in Å follow each position.
Atoms (fractional coordinates):
Ho  0.0000  0.0000  0.0000  8 Mg 3.24, 2 Ho 3.60
Ho  0.0702  0.4141  0.0000  2 Ag 2.98, 4 Mg 3.26-3.30
Ho  0.1597  0.8403  0.0000  8 Mg 3.31-3.36, 5 Ho 3.60-3.69
Ho  0.2886  0.2886  0.0000  4 Ag 3.02, 4 Mg 3.36
Ho  0.3623  0.6377  0.0000  4 Ag 3.02
Ho  0.4141  0.0702  0.0000  2 Ag 2.98, 4 Mg 3.26-3.30
Ho  0.5859  0.9298  0.0000  2 Ag 2.98, 4 Mg 3.26-3.30
Ho  0.6377  0.3623  0.0000  4 Ag 3.02
Ho  0.7114  0.7114  0.0000  4 Ag 3.02, 4 Mg 3.36
Ho  0.8403  0.1597  0.0000  8 Mg 3.31-3.36, 5 Ho 3.60-3.69
Ho  0.9298  0.5859  0.0000  2 Ag 2.98, 4 Mg 3.26-3.30
Mg  0.0630  0.2127  0.5000  1 Ag 3.23, 8 Ho 3.24-3.36, 1 Mg 3.38
Mg  0.1508  0.6338  0.5000  1 Mg 3.21, 8 Ho 3.30-3.39, 1 Ag 3.30
Mg  0.2127  0.0630  0.5000  1 Ag 3.23, 8 Ho 3.24-3.36, 1 Mg 3.38
Mg  0.3662  0.8492  0.5000  1 Mg 3.21, 8 Ho 3.30-3.39, 1 Ag 3.30
Mg  0.5000  0.5000  0.5000  4 Ag 3.12
Mg  0.6338  0.1508  0.5000  1 Mg 3.21, 8 Ho 3.30-3.39, 1 Ag 3.30
Mg  0.7873  0.9370  0.5000  1 Ag 3.23, 8 Ho 3.24-3.36, 1 Mg 3.38
Mg  0.8492  0.3662  0.5000  1 Mg 3.21, 8 Ho 3.30-3.39, 1 Ag 3.30
Mg  0.9370  0.7873  0.5000  1 Ag 3.23, 8 Ho 3.24-3.36, 1 Mg 3.38
Ag  0.2543  0.4495  0.5000  6 Ho 2.98-3.02, 3 Mg 3.12-3.30
Ag  0.4495  0.2543  0.5000  6 Ho 2.98-3.02, 3 Mg 3.12-3.30
Ag  0.5505  0.7457  0.5000  6 Ho 2.98-3.02, 3 Mg 3.12-3.30
Ag  0.7457  0.5505  0.5000  6 Ho 2.98-3.02, 3 Mg 3.12-3.30

=====

Computed, not measured: a relaxed HoMg3Ag2 crystal at the PBE level of DFT.

Calculated values
* offset from the most stable computed form: 0.039 eV per atom
* symmetry: C2/m
* uncorrected energy: -32.13 eV/cell
* ΔE_f: -0.167 eV per atom

Lattice parameters (Å, degrees): 8.3571 8.3571 8.2958 112.77 112.77 30.87
Closest atoms and distances in Å follow each position.
Atoms (fractional coordinates):
Ho  0.1187  0.1187  0.1513  6 Ag 3.02-3.35, 1 Mg 3.32
Ho  0.8813  0.8813  0.8487  6 Ag 3.02-3.35, 1 Mg 3.32
Mg  0.0497  0.0497  0.6909  3 Ag 2.76-2.86, 1 Mg 2.92
Mg  0.3131  0.3131  0.1024  4 Ag 2.75-2.93, 2 Mg 3.03
Mg  0.3486  0.3486  0.5088  4 Ag 2.87-3.02, 1 Mg 3.19
Mg  0.6514  0.6514  0.4912  4 Ag 2.87-3.02, 1 Mg 3.19
Mg  0.6869  0.6869  0.8976  4 Ag 2.75-2.93, 2 Mg 3.03
Mg  0.9503  0.9503  0.3091  3 Ag 2.76-2.86, 1 Mg 2.92
Ag  0.2328  0.2328  0.7191  7 Mg 2.86-3.02, 2 Ho 3.12
Ag  0.4940  0.4940  0.1628  4 Mg 2.75-2.88, 1 Ag 2.78, 2 Ho 3.02
Ag  0.5060  0.5060  0.8372  4 Mg 2.75-2.88, 1 Ag 2.78, 2 Ho 3.02
Ag  0.7672  0.7672  0.2809  7 Mg 2.86-3.02, 2 Ho 3.12

=====

Computed, not measured: a relaxed HoMg10Ag2 crystal at the PBE level of DFT.

Calculated values
* symmetry: Fmmm
* uncorrected energy: -27.35 eV/cell
* ΔE_f: -0.086 eV per atom

Lattice parameters (Å, degrees): 10.0716 7.6937 7.6535 82.03 49.16 48.81
Closest atoms and distances in Å follow each position.
Atoms (fractional coordinates):
Ho  0.0000  0.0000  0.0000  16 Mg 3.48-3.85, 4 Ag 3.83
Mg  0.0000  0.5000  0.0000  10 Mg 2.86-3.15
Mg  0.0123  0.6542  0.3458  2 Ag 2.96, 6 Mg 3.12-3.16
Mg  0.2891  0.5067  0.4933  2 Ag 2.86, 7 Mg 2.92-3.16
Mg  0.3458  0.9877  0.0123  2 Ag 2.96, 6 Mg 3.12-3.16
Mg  0.4933  0.7109  0.2891  2 Ag 2.86, 7 Mg 2.92-3.16
Mg  0.5000  0.0000  0.5000  10 Mg 2.86-3.15
Mg  0.5067  0.2891  0.7109  2 Ag 2.86, 7 Mg 2.92-3.16
Mg  0.6542  0.0123  0.9877  2 Ag 2.96, 6 Mg 3.12-3.16
Mg  0.7109  0.4933  0.5067  2 Ag 2.86, 7 Mg 2.92-3.16
Mg  0.9877  0.3458  0.6542  2 Ag 2.96, 6 Mg 3.12-3.16
Ag  0.0000  0.0000  0.5000  2 Ag 2.86, 8 Mg 2.86-2.96
Ag  0.5000  0.5000  0.0000  2 Ag 2.86, 8 Mg 2.86-2.96

=====

Computed, not measured: a relaxed Ho3MgAg4 crystal at the PBE level of DFT.

Calculated values
* symmetry: Pmma
* uncorrected energy: -58.11 eV/cell
* ΔE_f: -0.290 eV per atom

Lattice parameters (Å, degrees): 10.0438 7.1500 5.0227 90.00 90.00 90.00
Closest atoms and distances in Å follow each position.
Atoms (fractional coordinates):
Ho  0.0000  0.0000  0.0000  8 Ag 3.11
Ho  0.2500  0.0000  0.4992  8 Ag 3.11
Ho  0.2500  0.5000  0.4989  8 Ag 3.06
Ho  0.5000  0.0000  0.0000  8 Ag 3.11
Ho  0.7500  0.0000  0.5008  8 Ag 3.11
Ho  0.7500  0.5000  0.5011  8 Ag 3.06
Mg  0.0000  0.5000  0.0000  8 Ag 3.06
Mg  0.5000  0.5000  0.0000  8 Ag 3.06
Ag  0.0000  0.2560  0.5000  6 Ho 3.06-3.11, 2 Mg 3.06
Ag  0.0000  0.7440  0.5000  6 Ho 3.06-3.11, 2 Mg 3.06
Ag  0.2500  0.2560  0.9988  6 Ho 3.06-3.11, 2 Mg 3.06
Ag  0.2500  0.7440  0.9988  6 Ho 3.06-3.11, 2 Mg 3.06
Ag  0.5000  0.2560  0.5000  6 Ho 3.06-3.11, 2 Mg 3.06
Ag  0.5000  0.7440  0.5000  6 Ho 3.06-3.11, 2 Mg 3.06
Ag  0.7500  0.2560  0.0012  6 Ho 3.06-3.11, 2 Mg 3.06
Ag  0.7500  0.7440  0.0012  6 Ho 3.06-3.11, 2 Mg 3.06